Here is Tb2TiGe4Pd3 after structural relaxation from Alexandria. Energies are from PBE.

DFT formation energy in eV/atom: -0.762
DFT total energy in eV per atom: -5.88
SG: P-4m2

Cell lengths 4.1176, 4.1176, 11.1846 Å; angles 90.00, 90.00, 90.00 degrees
Positions (direct):
Ge 0.0000 0.5000 0.3587
Ge 0.0000 0.0000 0.0000
Ge 0.5000 0.5000 0.0000
Ge 0.5000 0.0000 0.6413
Tb 0.5000 0.0000 0.2464
Tb 0.0000 0.5000 0.7536
Ti 0.5000 0.5000 0.5000
Pd 0.0000 0.0000 0.5000
Pd 0.5000 0.0000 0.8627
Pd 0.0000 0.5000 0.1373